{"formula": "DyTc2B4", "functional": "PBE", "state": "relaxed", "n_ef_per_ev_fu": 3.39, "energy_ev_per_atom": -7.60, "delta_e_f_ev_per_atom": -0.1639, "lattice": [[5.677, -2.763, 0.000], [5.677, 2.763, 0.000], [-2.059, 0.000, 5.407]], "species": ["Dy", "Dy", "Tc", "Tc", "Tc", "Tc", "B", "B", "B", "B", "B", "B", "B", "B"], "fractional_positions": [[0.240, 0.760, 0.750], [0.760, 0.240, 0.250], [0.193, 0.325, 0.834], [0.325, 0.193, 0.334], [0.675, 0.807, 0.666], [0.807, 0.675, 0.166], [0.032, 0.241, 0.020], [0.231, 0.602, 0.204], [0.241, 0.032, 0.520], [0.398, 0.769, 0.296], [0.602, 0.231, 0.704], [0.759, 0.968, 0.480], [0.769, 0.398, 0.796], [0.968, 0.759, 0.980]]}